Cs2TlCdBi2 | GGA-PBE | relaxed

It has space group Ibam (No. 72), with a = 7.6179 Å, b = 17.8311 Å, c = 7.5793 Å, α = 90.00°, β = 90.00° and γ = 90.00°. The inequivalent atoms are Cs at (0.2415, 0.1656, 0.0000), Tl at (0.0000, 0.0000, 0.2500), Cd at (0.0000, 0.5000, 0.2500) and Bi at (0.2312, 0.4040, 0.0000).

The value obtained for the volume is 1030 Å³/cell. The value obtained for the energy is -2.4450 eV per atom. The value obtained for the density of states at the Fermi level is 1.6 states/eV/f.u.